Record 1
Entry from Alexandria: a relaxed structure of Li5Pr4Au6 (GGA-PBE).

Results
Its formation energy is -565 meV/atom. Its magnetic moment is 0.00 Bohr magnetons per cell.

Lattice parameters (Å, degrees): 4.201 10.863 15.622 90.00 90.00 101.15
Fractional positions:
Li 0.438 0.877 0.669
Li 0.562 0.123 0.169
Li 0.158 0.317 0.629
Li 0.842 0.683 0.129
Li 0.644 0.288 0.493
Li 0.356 0.712 0.993
Li 0.304 0.607 0.615
Li 0.696 0.393 0.115
Li 0.337 0.675 0.262
Li 0.663 0.325 0.762
Pr 0.968 0.936 0.274
Pr 0.032 0.064 0.774
Pr 0.159 0.318 0.303
Pr 0.841 0.682 0.803
Pr 0.817 0.634 0.439
Pr 0.183 0.366 0.939
Pr 0.010 0.019 0.510
Pr 0.990 0.981 0.010
Au 0.762 0.524 0.259
Au 0.422 0.843 0.410
Au 0.783 0.565 0.982
Au 0.217 0.435 0.482
Au 0.441 0.883 0.862
Au 0.559 0.117 0.362
Au 0.429 0.858 0.135
Au 0.571 0.142 0.635
Au 0.116 0.232 0.113
Au 0.884 0.768 0.613
Au 0.578 0.157 0.910
Au 0.238 0.476 0.759

=====

Record 2
Entry from Alexandria: a relaxed structure of YIn2Ru (GGA-PBE).

Results
Its formation energy is -170 meV/atom. Its magnetic moment is 0.61 Bohr magnetons per cell.

Lattice parameters (Å, degrees): 5.233 5.233 5.147 72.48 72.48 41.24
Last column: magnetic moment on the atom in μB.
Fractional positions:
In 0.023 0.023 0.954  0.01
In 0.477 0.477 0.546  0.01
Ru 0.750 0.750 0.750  0.57
Y 0.250 0.250 0.250  -0.01

=====

Repeat the first record exactly.
Entry from Alexandria: a relaxed structure of Li5Pr4Au6 (GGA-PBE).

Results
Its formation energy is -565 meV/atom. Its magnetic moment is 0.00 Bohr magnetons per cell.

Lattice parameters (Å, degrees): 4.201 10.863 15.622 90.00 90.00 101.15
Fractional positions:
Li 0.438 0.877 0.669
Li 0.562 0.123 0.169
Li 0.158 0.317 0.629
Li 0.842 0.683 0.129
Li 0.644 0.288 0.493
Li 0.356 0.712 0.993
Li 0.304 0.607 0.615
Li 0.696 0.393 0.115
Li 0.337 0.675 0.262
Li 0.663 0.325 0.762
Pr 0.968 0.936 0.274
Pr 0.032 0.064 0.774
Pr 0.159 0.318 0.303
Pr 0.841 0.682 0.803
Pr 0.817 0.634 0.439
Pr 0.183 0.366 0.939
Pr 0.010 0.019 0.510
Pr 0.990 0.981 0.010
Au 0.762 0.524 0.259
Au 0.422 0.843 0.410
Au 0.783 0.565 0.982
Au 0.217 0.435 0.482
Au 0.441 0.883 0.862
Au 0.559 0.117 0.362
Au 0.429 0.858 0.135
Au 0.571 0.142 0.635
Au 0.116 0.232 0.113
Au 0.884 0.768 0.613
Au 0.578 0.157 0.910
Au 0.238 0.476 0.759

=====

> What is the formula in the first record?

Li5Pr4Au6

=====

> Among the records above, which one has the highest magnetic moment?

YIn2Ru